(1)
# Ba2TaIr

A relaxed structure of Ba2TaIr (PBE-GGA, the Alexandria database).

Lattice parameters (Å, degrees): 3.614 3.614 10.144 90.00 90.00 90.00
Fractional coordinates of all 4 atoms:
Ba  0.000  0.000  0.000
Ba  0.500  0.500  0.402
Ta  0.500  0.500  0.725
Ir  0.000  0.000  0.667

Results
ΔE to the lowest computed polymorph   139 meV/atom
Calculated total energy   -5.99 eV per atom
E_form   0.15 eV/atom
V   33.12 Å³/atom
SG   No. 99



(2)
# Ba2TaIr

A relaxed structure of Ba2TaIr (PBE-GGA, the Alexandria database).

Lattice parameters (Å, degrees): 10.991 10.991 10.991 17.93 17.93 17.93
Fractional coordinates of all 4 atoms:
Ba  0.241  0.241  0.241
Ba  0.759  0.759  0.759
Ta  0.000  0.000  0.000
Ir  0.500  0.500  0.500

Results
ΔE to the lowest computed polymorph   1131 meV/atom
Calculated total energy   -5.00 eV per atom
E_form   1.14 eV/atom
V   27.46 Å³/atom
SG   No. 166



(3)
# BaTaIr

A relaxed structure of BaTaIr (PBE-GGA, the Alexandria database).

Lattice parameters (Å, degrees): 6.894 6.894 6.894 150.79 150.79 41.78
Fractional coordinates of all 3 atoms:
Ba  0.000  0.000  0.000
Ta  0.726  0.726  0.000
Ir  0.293  0.293  0.000

Results
ΔE to the lowest computed polymorph   0 meV/atom
Calculated total energy   -7.45 eV per atom
E_form   0.10 eV/atom
V   25.95 Å³/atom
SG   No. 107



(4)
# Ba2TaIr

A relaxed structure of Ba2TaIr (PBE-GGA, the Alexandria database).

Lattice parameters (Å, degrees): 4.303 4.314 5.566 90.00 90.00 90.00
Fractional coordinates of all 4 atoms:
Ba  0.000  0.000  0.000
Ba  0.500  0.500  0.000
Ta  0.000  0.500  0.500
Ir  0.500  0.000  0.500

Results
ΔE to the lowest computed polymorph   965 meV/atom
Calculated total energy   -5.17 eV per atom
E_form   0.97 eV/atom
V   25.83 Å³/atom
SG   No. 47



(5)
# Ba2Ta2Ir

A relaxed structure of Ba2Ta2Ir (PBE-GGA, the Alexandria database).

Lattice parameters (Å, degrees): 9.670 9.670 3.112 90.00 90.00 90.00
Fractional coordinates of all 10 atoms:
Ba  0.206  0.294  0.000
Ba  0.294  0.794  0.000
Ba  0.706  0.206  0.000
Ba  0.794  0.706  0.000
Ta  0.089  0.589  0.500
Ta  0.411  0.089  0.500
Ta  0.589  0.911  0.500
Ta  0.911  0.411  0.500
Ir  0.000  0.000  0.000
Ir  0.500  0.500  0.000

Results
ΔE to the lowest computed polymorph   916 meV/atom
Calculated total energy   -5.64 eV per atom
E_form   1.64 eV/atom
V   29.11 Å³/atom
SG   No. 127



(6)
# Ba2TaIr

A relaxed structure of Ba2TaIr (PBE-GGA, the Alexandria database).

Lattice parameters (Å, degrees): 8.794 8.794 8.794 94.38 94.38 147.93
Fractional coordinates of all 8 atoms:
Ba  0.375  0.041  0.166
Ba  0.791  0.625  0.666
Ba  0.875  0.209  0.834
Ba  0.959  0.125  0.334
Ta  0.250  0.750  0.500
Ta  0.500  0.500  0.000
Ir  0.000  0.000  0.000
Ir  0.750  0.250  0.500

Results
ΔE to the lowest computed polymorph   550 meV/atom
Calculated total energy   -5.58 eV per atom
E_form   0.56 eV/atom
V   43.38 Å³/atom
SG   No. 122



(7)
# Ba2TaIr

A relaxed structure of Ba2TaIr (PBE-GGA, the Alexandria database).

Lattice parameters (Å, degrees): 6.799 6.799 6.799 147.19 129.60 61.46
Fractional coordinates of all 4 atoms:
Ba  0.000  0.000  0.000
Ba  0.704  0.204  0.500
Ta  0.316  0.816  0.500
Ir  0.445  0.445  0.000

Results
ΔE to the lowest computed polymorph   288 meV/atom
Calculated total energy   -5.84 eV per atom
E_form   0.29 eV/atom
V   32.49 Å³/atom
SG   No. 44



(8)
# BaTa4Ir

A relaxed structure of BaTa4Ir (PBE-GGA, the Alexandria database).

Lattice parameters (Å, degrees): 5.618 5.618 5.618 60.00 60.00 60.00
Fractional coordinates of all 6 atoms:
Ba  0.000  0.000  0.000
Ta  0.375  0.375  0.375
Ta  0.375  0.375  0.875
Ta  0.375  0.875  0.375
Ta  0.875  0.375  0.375
Ir  0.750  0.750  0.750

Results
Calculated total energy   -8.91 eV per atom
E_form   0.79 eV/atom
V   20.89 Å³/atom
SG   No. 216



(9)
# Ba2TaIr

A relaxed structure of Ba2TaIr (PBE-GGA, the Alexandria database).

Lattice parameters (Å, degrees): 6.334 6.334 6.334 140.09 140.09 57.71
Fractional coordinates of all 4 atoms:
Ba  0.250  0.750  0.500
Ba  0.750  0.250  0.500
Ta  0.000  0.000  0.000
Ir  0.500  0.500  0.000

Results
ΔE to the lowest computed polymorph   974 meV/atom
Calculated total energy   -5.16 eV per atom
E_form   0.98 eV/atom
V   25.92 Å³/atom
SG   No. 139



(10)
# BaTbIr

A relaxed structure of BaTbIr (PBE-GGA, the Alexandria database).

Lattice parameters (Å, degrees): 3.619 3.619 14.345 90.00 90.00 90.00
Fractional coordinates of all 6 atoms:
Ba  0.000  0.000  0.132
Ba  0.000  0.000  0.868
Tb  0.500  0.500  0.391
Tb  0.500  0.500  0.609
Ir  0.000  0.000  0.500
Ir  0.500  0.500  0.000

Results
Calculated total energy   -5.35 eV per atom
E_form   -0.21 eV/atom
V   31.31 Å³/atom
SG   No. 123



(11)
# BaTb3Ir

A relaxed structure of BaTb3Ir (PBE-GGA, the Alexandria database).

Lattice parameters (Å, degrees): 5.584 5.584 5.584 90.00 90.00 90.00
Fractional coordinates of all 5 atoms:
Ba  0.000  0.000  0.000
Tb  0.000  0.500  0.500
Tb  0.500  0.000  0.500
Tb  0.500  0.500  0.000
Ir  0.500  0.500  0.500

Results
Calculated total energy   -5.24 eV per atom
E_form   -0.31 eV/atom
V   34.83 Å³/atom
SG   No. 221



(12)
# Ba2TcIr

A relaxed structure of Ba2TcIr (PBE-GGA, the Alexandria database).

Lattice parameters (Å, degrees): 9.574 9.574 9.574 23.48 23.48 23.48
Fractional coordinates of all 4 atoms:
Ba  0.242  0.242  0.242
Ba  0.758  0.758  0.758
Tc  0.000  0.000  0.000
Ir  0.500  0.500  0.500

Results
ΔE to the lowest computed polymorph   1039 meV/atom
Calculated total energy   -4.65 eV per atom
E_form   1.12 eV/atom
V   30.59 Å³/atom
SG   No. 166